Record 1
{"formula": "Al2FeP6", "functional": "PBE-GGA", "state": "relaxed", "spacegroup": "No. 189", "formation_energy_kj_per_mol_atoms": 7, "lattice_angstrom": [[6.587, 0.000, 0.000], [-3.293, 5.704, 0.000], [0.000, 0.000, 3.439]], "species": ["Al", "Al", "Fe", "P", "P", "P", "P", "P", "P"], "fractional_positions": [[0.333, 0.667, 0.000], [0.667, 0.333, 0.000], [0.000, 0.000, 0.500], [0.000, 0.250, 0.000], [0.000, 0.638, 0.500], [0.250, 0.000, 0.000], [0.362, 0.362, 0.500], [0.638, 0.000, 0.500], [0.750, 0.750, 0.000]]}

Record 2
{"formula": "AlFe2P", "functional": "PBE-GGA", "state": "relaxed", "spacegroup": "No. 44", "relative_energy_mev_per_atom": 136.4, "formation_energy_kj_per_mol_atoms": -25, "lattice_angstrom": [[2.761, 0.000, 0.000], [0.000, 3.686, 0.000], [0.000, 0.000, 9.364]], "species": ["Al", "Al", "Fe", "Fe", "Fe", "Fe", "P", "P"], "fractional_positions": [[0.000, 0.000, 0.000], [0.500, 0.500, 0.500], [0.000, 0.000, 0.567], [0.000, 0.500, 0.803], [0.500, 0.000, 0.303], [0.500, 0.500, 0.067], [0.000, 0.500, 0.248], [0.500, 0.000, 0.748]]}

Record 3
{"formula": "AlFe2P", "functional": "PBE-GGA", "state": "relaxed", "spacegroup": "No. 10", "relative_energy_mev_per_atom": 130.6, "formation_energy_kj_per_mol_atoms": -26, "lattice_angstrom": [[2.720, 0.000, 0.000], [0.000, 3.377, 0.000], [-1.154, 0.000, 5.083]], "species": ["Al", "Fe", "Fe", "P"], "fractional_positions": [[0.000, 0.000, 0.000], [0.359, 0.500, 0.724], [0.641, 0.500, 0.276], [0.000, 0.000, 0.500]]}

Record 4
{"formula": "AlFe2P", "functional": "PBE-GGA", "state": "relaxed", "spacegroup": "No. 12", "relative_energy_mev_per_atom": 356.4, "formation_energy_kj_per_mol_atoms": -4, "lattice_angstrom": [[5.200, 0.000, 0.000], [0.000, 7.489, 0.000], [-0.985, 0.000, 2.472]], "species": ["Al", "Al", "Fe", "Fe", "Fe", "Fe", "P", "P"], "fractional_positions": [[0.000, 0.000, 0.000], [0.500, 0.500, 0.000], [0.250, 0.250, 0.500], [0.250, 0.750, 0.500], [0.750, 0.250, 0.500], [0.750, 0.750, 0.500], [0.000, 0.500, 0.000], [0.500, 0.000, 0.000]]}

Record 5
{"formula": "AlFeP2", "functional": "PBE-GGA", "state": "relaxed", "spacegroup": "No. 99", "formation_energy_kj_per_mol_atoms": -10, "lattice_angstrom": [[3.453, 0.000, 0.000], [0.000, 3.453, 0.000], [0.000, 0.000, 4.947]], "species": ["Al", "Fe", "P", "P"], "fractional_positions": [[0.000, 0.000, 0.000], [0.500, 0.500, 0.495], [0.000, 0.000, 0.499], [0.500, 0.500, 0.994]]}

Record 6
{"formula": "AlFe2P", "functional": "PBE-GGA", "state": "relaxed", "spacegroup": "No. 166", "relative_energy_mev_per_atom": 194.5, "formation_energy_kj_per_mol_atoms": -20, "lattice_angstrom": [[2.717, 0.000, 0.000], [-1.359, 2.353, 0.000], [0.000, 0.000, 22.073]], "species": ["Al", "Al", "Al", "Fe", "Fe", "Fe", "Fe", "Fe", "Fe", "P", "P", "P"], "fractional_positions": [[0.000, 0.000, 0.000], [0.333, 0.667, 0.667], [0.667, 0.333, 0.333], [0.000, 0.000, 0.242], [0.000, 0.000, 0.758], [0.333, 0.667, 0.425], [0.333, 0.667, 0.908], [0.667, 0.333, 0.092], [0.667, 0.333, 0.575], [0.000, 0.000, 0.500], [0.333, 0.667, 0.167], [0.667, 0.333, 0.833]]}

Record 7
{"formula": "AlFe2P", "functional": "PBE-GGA", "state": "relaxed", "spacegroup": "No. 38", "relative_energy_mev_per_atom": 195.6, "formation_energy_kj_per_mol_atoms": -20, "lattice_angstrom": [[4.061, 0.000, 0.000], [0.000, 2.793, 0.000], [0.000, 0.000, 8.565]], "species": ["Al", "Al", "Fe", "Fe", "Fe", "Fe", "P", "P"], "fractional_positions": [[0.000, 0.000, 0.000], [0.000, 0.500, 0.500], [0.000, 0.000, 0.266], [0.000, 0.500, 0.766], [0.500, 0.000, 0.648], [0.500, 0.500, 0.148], [0.500, 0.000, 0.367], [0.500, 0.500, 0.867]]}

Record 8
{"formula": "AlFe2P", "functional": "PBE-GGA", "state": "relaxed", "spacegroup": "No. 99", "relative_energy_mev_per_atom": 120.2, "formation_energy_kj_per_mol_atoms": -27, "lattice_angstrom": [[3.086, 0.000, 0.000], [0.000, 3.086, 0.000], [0.000, 0.000, 5.045]], "species": ["Al", "Fe", "Fe", "P"], "fractional_positions": [[0.000, 0.000, 0.000], [0.000, 0.000, 0.511], [0.500, 0.500, 0.227], [0.500, 0.500, 0.705]]}

Record 9
{"formula": "AlFe3P", "functional": "PBE-GGA", "state": "relaxed", "spacegroup": "No. 221", "relative_energy_mev_per_atom": 0.0, "formation_energy_kj_per_mol_atoms": 12, "lattice_angstrom": [[4.137, 0.000, 0.000], [0.000, 4.137, 0.000], [0.000, 0.000, 4.137]], "species": ["Al", "Fe", "Fe", "Fe", "P"], "fractional_positions": [[0.000, 0.000, 0.000], [0.000, 0.500, 0.500], [0.500, 0.000, 0.500], [0.500, 0.500, 0.000], [0.500, 0.500, 0.500]]}

Record 10
{"formula": "AlFeP2", "functional": "PBE-GGA", "state": "relaxed", "spacegroup": "No. 122", "formation_energy_kj_per_mol_atoms": -15, "lattice_angstrom": [[5.306, 0.000, 0.000], [0.000, 5.306, 0.000], [0.000, 0.000, 10.278]], "species": ["Al", "Al", "Al", "Al", "Fe", "Fe", "Fe", "Fe", "P", "P", "P", "P", "P", "P", "P", "P"], "fractional_positions": [[0.000, 0.000, 0.000], [0.000, 0.500, 0.250], [0.500, 0.000, 0.750], [0.500, 0.500, 0.500], [0.000, 0.000, 0.500], [0.000, 0.500, 0.750], [0.500, 0.000, 0.250], [0.500, 0.500, 0.000], [0.211, 0.250, 0.625], [0.250, 0.711, 0.875], [0.250, 0.789, 0.375], [0.289, 0.250, 0.125], [0.711, 0.750, 0.125], [0.750, 0.211, 0.375], [0.750, 0.289, 0.875], [0.789, 0.750, 0.625]]}

Record 11
{"formula": "AlFeP2", "functional": "PBE-GGA", "state": "relaxed", "spacegroup": "No. 12", "formation_energy_kj_per_mol_atoms": 10, "lattice_angstrom": [[5.053, 0.000, 0.000], [0.000, 6.682, 0.000], [-0.871, 0.000, 3.213]], "species": ["Al", "Al", "Fe", "Fe", "P", "P", "P", "P"], "fractional_positions": [[0.000, 0.000, 0.000], [0.500, 0.500, 0.000], [0.000, 0.500, 0.000], [0.500, 0.000, 0.000], [0.250, 0.250, 0.500], [0.250, 0.750, 0.500], [0.750, 0.250, 0.500], [0.750, 0.750, 0.500]]}

Record 12
{"formula": "AlFe2P", "functional": "PBE-GGA", "state": "relaxed", "spacegroup": "No. 12", "relative_energy_mev_per_atom": 209.2, "formation_energy_kj_per_mol_atoms": -18, "lattice_angstrom": [[7.584, 0.000, 0.000], [0.000, 2.817, 0.000], [-1.124, 0.000, 4.393]], "species": ["Al", "Al", "Fe", "Fe", "Fe", "Fe", "P", "P"], "fractional_positions": [[0.000, 0.000, 0.000], [0.500, 0.500, 0.000], [0.231, 0.000, 0.719], [0.269, 0.500, 0.281], [0.731, 0.500, 0.719], [0.769, 0.000, 0.281], [0.000, 0.500, 0.500], [0.500, 0.000, 0.500]]}

no.,energy (Ry/atom)
1,-0.3897
2,-0.4984
3,-0.4989
4,-0.4823
5,-0.4306
6,-0.4942
7,-0.4941
8,-0.4996
9,-0.4985
10,-0.4346
11,-0.4155
12,-0.4931